The following is a GGA-PBE calculation of a geometry-optimized RbPd3F structure, from Alexandria.

Summary:
- energy above the most stable polymorph in this dataset (meV/atom) = 0
- DOS(E_F) (states/eV/atom) = 1.518
- theoretical density (Mg/m³) = 6.84
- calculated volume (Å³/f.u.) = 102.89
- energy relative to the elements, uncorrected (meV/atom) = 221
- total magnetic moment (μB per cell) = 0.48
- crystal system = cubic

a b c (Å): 4.686 4.686 4.686
angles (deg): 90.00 90.00 90.00
Space group Pm-3m (No. 221)
One atom of each set of equivalent atoms:
Rb1 0.000 0.000 0.000 (multiplicity 1)
Pd1 0.000 0.500 0.500 (multiplicity 3)
F1 0.500 0.500 0.500 (multiplicity 1)